[1]
# BaZrIn2Br8

Crystalline BaZrIn2Br8 at its relaxed geometry (PBE-GGA, Alexandria).

abc: 7.357 7.389 9.149
angles: 89.88 90.08 91.83
Element x y z (fractional)
Ba (0.000, 0.000, 0.500)
Zr (0.000, 0.000, 0.000)
In (0.500, 0.500, 0.756)
In (0.500, 0.500, 0.244)
Br (0.126, 0.778, 0.208)
Br (0.691, 0.817, 0.999)
Br (0.873, 0.221, 0.207)
Br (0.874, 0.222, 0.792)
Br (0.309, 0.183, 0.001)
Br (0.127, 0.779, 0.793)
Br (0.647, 0.732, 0.500)
Br (0.353, 0.268, 0.500)

Output
Space group: P-1, No. 2
Formation energy from raw total energies in eV per atom: -1.3181
Crystal system: triclinic
Theoretical density in Mg/m³: 3.67
Total DFT energy (no corrections) in eV per formula unit: -45.1

=====

[2]
# SrPdO3

Crystalline SrPdO3 at its relaxed geometry (PBE-GGA, Alexandria).

abc: 20.813 5.311 6.832
angles: 90.00 159.31 90.00
Element x y z (fractional)
Sr (0.177, 0.236, 0.908)
Sr (0.823, 0.764, 0.092)
Sr (0.323, 0.736, 0.592)
Sr (0.677, 0.264, 0.408)
O (0.329, 0.939, 0.065)
O (0.671, 0.061, 0.935)
O (0.171, 0.439, 0.435)
O (0.829, 0.561, 0.565)
O (0.453, 0.416, 0.542)
O (0.547, 0.584, 0.458)
O (0.047, 0.916, 0.958)
O (0.953, 0.084, 0.042)
O (0.598, 0.810, 0.166)
O (0.402, 0.190, 0.834)
O (0.902, 0.310, 0.334)
O (0.098, 0.690, 0.666)
Pd (0.576, 0.737, 0.812)
Pd (0.424, 0.263, 0.188)
Pd (0.924, 0.237, 0.688)
Pd (0.076, 0.763, 0.312)

Output
Space group: P2_1/c, No. 14
Formation energy from raw total energies in eV per atom: -1.3522
Crystal system: monoclinic
Theoretical density in Mg/m³: 6.02
Total DFT energy (no corrections) in eV per formula unit: -28.5

=====

[3]
# Sr2CrCd

Crystalline Sr2CrCd at its relaxed geometry (PBE-GGA, Alexandria).

abc: 8.948 8.948 7.287
angles: 52.12 52.12 90.00
Last column: magnetic moment on the atom in μB.
Element x y z (fractional)
Sr (0.622, 0.125, 0.250)  0.02
Sr (0.128, 0.625, 0.250)  0.02
Sr (0.375, 0.378, 0.750)  0.02
Sr (0.875, 0.872, 0.750)  0.02
Cr (0.500, 0.500, 0.000)  4.08
Cr (0.250, 0.750, 0.500)  4.08
Cd (0.000, 0.000, 0.000)  -0.01
Cd (0.750, 0.250, 0.500)  -0.01

Output
Space group: I-42d, No. 122
ΔH_f (0 K) in meV/atom: 520
Crystal system: tetragonal
Theoretical density in Mg/m³: 3.90
Total DFT energy (no corrections) in eV per formula unit: -11.8

=====

[4]
# NaY2Bi2

Crystalline NaY2Bi2 at its relaxed geometry (PBE-GGA, Alexandria).

abc: 8.584 8.584 4.150
angles: 90.00 90.00 90.00
Last column: magnetic moment on the atom in μB.
Element x y z (fractional)
Y (0.148, 0.648, 0.500)  0.15
Y (0.648, 0.852, 0.500)  0.16
Y (0.852, 0.352, 0.500)  0.15
Y (0.352, 0.148, 0.500)  0.16
Na (0.000, 0.000, 0.000)  0.02
Na (0.500, 0.500, 0.000)  0.02
Bi (0.346, 0.846, 0.000)  -0.01
Bi (0.846, 0.654, 0.000)  -0.01
Bi (0.654, 0.154, 0.000)  -0.01
Bi (0.154, 0.346, 0.000)  -0.01

Output
Space group: P4/mbm, No. 127
ΔH_f (0 K) in meV/atom: -600
Polymorph energy (0 for the lowest one) in meV per atom: 0.0
Crystal system: tetragonal
Theoretical density in Mg/m³: 6.72
Total DFT energy (no corrections) in eV per formula unit: -25.0